Compound: CsCrBiO4
Source: Alexandria
Functional: PBE with a Hubbard U
Structure: relaxed

a b c (Å): 6.072 5.928 8.326
angles (deg): 90.00 90.34 90.00
Space group P2_1/m (No. 11)
Symmetry-distinct sites (fractional):
Cs 0.239 0.250 0.370 x2
Cr 0.187 0.250 0.832 x2
Bi 0.286 0.750 0.014 x2
O 0.030 0.750 0.301 x2
O 0.073 0.250 0.037 x2
O 0.373 0.005 0.833 x4

Output
The total energy is -6.051 eV/atom.